The following is a DFT calculation (PBE) of crystalline NbFeNi2 at its relaxed geometry.

Unit cell a=3.626 b=3.626 c=3.789 alpha=90.00 beta=90.00 gamma=90.00
Space group P4/mmm (No. 123)
Asymmetric unit:
Nb 0.000 0.000 0.000 x1
Fe 0.500 0.500 0.000 x1
Ni 0.000 0.500 0.500 x2

Summary:
Total magnetic moment: 0.848 μB/f.u.
Final energy: -30.8 eV for the cell shown
E_form: -164 meV per atom
DOS(E_F): 4.07 states/eV/cell